DFT (GGA-PBE) results for crystalline Tb2HoZrP4 at its relaxed geometry.

**Calculated volume**: 21.56 Å³/atom
**DFT formation energy**: -1553 meV/atom

The structure in CIF format:
```
data_Tb2HoZrP4
_chemical_formula_sum 'Tb2 Ho1 Zr1 P4'
_cell_length_a 6.815
_cell_length_b 3.931
_cell_length_c 6.819
_cell_angle_alpha 90.00
_cell_angle_beta 109.28
_cell_angle_gamma 90.00
_space_group_name_H-M_alt 'P 1 2/m 1'
_space_group_IT_number 10
loop_
_space_group_symop_operation_xyz
'x,y,z'
'-x,-y,-z'
'-x,y,-z'
'x,-y,z'
loop_
_atom_site_label
_atom_site_fract_x
_atom_site_fract_y
_atom_site_fract_z
Tb1 0.000 0.000 0.000
Tb2 0.500 0.500 0.000
Ho1 0.000 0.500 0.500
Zr1 0.500 0.000 0.500
P1 0.255 0.000 0.742
P2 0.261 0.500 0.262
```

---

DFT (GGA-PBE) results for crystalline Sm2GaPb at its relaxed geometry.

**Calculated volume**: 28.21 Å³/atom
**DFT formation energy**: -581 meV/atom

The structure in CIF format:
```
data_Sm2GaPb
_chemical_formula_sum 'Sm4 Ga2 Pb2'
_cell_length_a 6.208
_cell_length_b 4.268
_cell_length_c 8.955
_cell_angle_alpha 90.00
_cell_angle_beta 107.94
_cell_angle_gamma 90.00
_space_group_name_H-M_alt 'P 1 21/m 1'
_space_group_IT_number 11
loop_
_space_group_symop_operation_xyz
'x,y,z'
'-x,-y,-z'
'-x,y+1/2,-z'
'x,-y+1/2,z'
loop_
_atom_site_label
_atom_site_fract_x
_atom_site_fract_y
_atom_site_fract_z
Sm1 0.194 0.250 0.424
Sm2 0.277 0.750 0.062
Ga1 0.120 0.250 0.793
Pb1 0.378 0.750 0.710
```

---

| no. | total energy (eV per atom) |
| --- | --- |
| 1 | -7.0560 |
| 2 | -4.6246 |